# 1
VASP calculation (PBE-GGA) on a relaxed structure of LaSc2AgO.

Cell lengths 4.4903, 4.4903, 5.0111 Å; angles 90.00, 90.00, 90.00 degrees
Atoms (fractional coordinates):
Sc: 0.0000 0.5000 0.0000
Sc: 0.5000 0.0000 0.0000
O: 0.0000 0.0000 0.0000
Ag: 0.5000 0.5000 0.5000
La: 0.0000 0.0000 0.5000

Calculated values
- E_tot: -6.278 eV/atom
- Magnetization: 0.00 μB per formula unit

***

# 2
VASP calculation (PBE-GGA) on a relaxed structure of La2AgSe2O2.

Cell lengths 4.0612, 4.0612, 12.1568 Å; angles 90.00, 90.00, 120.00 degrees
Atoms (fractional coordinates):
La: 0.6667 0.3333 0.3733
La: 0.3333 0.6667 0.6267
Ag: 0.0000 0.0000 0.0000
Se: 0.0000 0.0000 0.7987
Se: 0.0000 0.0000 0.2013
O: 0.6667 0.3333 0.5746
O: 0.3333 0.6667 0.4254

Calculated values
- E_tot: -6.269 eV/atom
- Magnetization: 0.00 μB per formula unit

***

# 3
VASP calculation (PBE-GGA) on a relaxed structure of La4AgSnO.

Cell lengths 6.9388, 6.9694, 9.0970 Å; angles 90.00, 112.42, 90.00 degrees
Atoms (fractional coordinates):
La: 0.9375 0.2500 0.8749
La: 0.4209 0.7500 0.8418
La: 0.0625 0.7500 0.1251
La: 0.5791 0.2500 0.1582
La: 0.5000 0.5000 0.5000
La: 0.0000 0.0000 0.5000
La: 0.5000 0.0000 0.5000
La: 0.0000 0.5000 0.5000
Ag: 0.1192 0.2500 0.2383
Ag: 0.8808 0.7500 0.7617
Sn: 0.6113 0.7500 0.2226
Sn: 0.3887 0.2500 0.7774
O: 0.2572 0.7500 0.5143
O: 0.7428 0.2500 0.4857

Calculated values
- E_tot: -5.601 eV/atom
- Magnetization: 0.00 μB per formula unit

***

# 4
VASP calculation (PBE-GGA) on a relaxed structure of SrLa2AgO5.

Cell lengths 6.8880, 6.8880, 7.8395 Å; angles 116.06, 116.06, 90.00 degrees
Atoms (fractional coordinates):
Sr: 0.2500 0.2500 0.5000
Sr: 0.7500 0.7500 0.5000
La: 0.1705 0.3295 0.0000
La: 0.6705 0.1705 0.0000
La: 0.3295 0.8295 0.0000
La: 0.8295 0.6705 0.0000
Ag: 0.2500 0.7500 0.5000
Ag: 0.7500 0.2500 0.5000
O: 0.9689 0.4689 0.2484
O: 0.7205 0.2205 0.7516
O: 0.0311 0.5311 0.7516
O: 0.2205 0.0311 0.7516
O: 0.5311 0.7205 0.7516
O: 0.7795 0.9689 0.2484
O: 0.4689 0.2795 0.2484
O: 0.2795 0.7795 0.2484
O: 0.5000 0.5000 0.0000
O: 0.0000 0.0000 0.0000

Calculated values
- E_tot: -6.716 eV/atom
- Magnetization: 0.96 μB per formula unit

***

# 5
VASP calculation (PBE-GGA) on a relaxed structure of Sr2LaAgO4.

Cell lengths 3.7250, 6.1214, 6.2558 Å; angles 107.47, 90.00, 90.00 degrees
Atoms (fractional coordinates):
Sr: 0.5000 0.0000 0.5000
Sr: 0.0000 0.5000 0.5000
La: 0.5000 0.5000 0.0000
Ag: 0.0000 0.0000 0.0000
O: 0.5000 0.2822 0.2630
O: 0.5000 0.7178 0.7370
O: 0.0000 0.2649 0.7600
O: 0.0000 0.7351 0.2400

Calculated values
- E_tot: -6.227 eV/atom
- Magnetization: 0.00 μB per formula unit

***

# 6
VASP calculation (PBE-GGA) on a relaxed structure of LaTcAgO5.

Cell lengths 6.5053, 6.5053, 8.7259 Å; angles 109.71, 109.71, 92.77 degrees
Atoms (fractional coordinates):
La: 0.0000 0.0000 0.5000
La: 0.0000 0.0000 0.0000
Tc: 0.6380 0.3620 0.2500
Tc: 0.3620 0.6380 0.7500
Ag: 0.2988 0.7012 0.2500
Ag: 0.7012 0.2988 0.7500
O: 0.0718 0.9282 0.2500
O: 0.9282 0.0718 0.7500
O: 0.7444 0.2626 0.0809
O: 0.2556 0.7374 0.9191
O: 0.7374 0.2556 0.4191
O: 0.2626 0.7444 0.5809
O: 0.7006 0.6614 0.3433
O: 0.2994 0.3386 0.6567
O: 0.3386 0.2994 0.1567
O: 0.6614 0.7006 0.8433

Calculated values
- E_tot: -7.089 eV/atom
- Magnetization: 1.01 μB per formula unit

***

# 7
VASP calculation (PBE-GGA) on a relaxed structure of La2AgTeO6.

Cell lengths 6.0134, 6.0134, 6.1997 Å; angles 60.99, 60.99, 60.00 degrees
Atoms (fractional coordinates):
La: 0.5338 0.5338 0.3985
La: 0.0270 0.0270 0.9189
Ag: 0.7966 0.7966 0.6103
Te: 0.3193 0.3194 0.0420
O: 0.5726 0.2143 0.2386
O: 0.2143 0.9745 0.2386
O: 0.9745 0.5726 0.2386
O: 0.4132 0.6700 0.7765
O: 0.6700 0.1403 0.7765
O: 0.1403 0.4132 0.7766

Calculated values
- E_tot: -6.615 eV/atom
- Magnetization: 0.00 μB per formula unit

***

# 8
VASP calculation (PBE-GGA) on a relaxed structure of LaAg2TeO4.

Cell lengths 7.1328, 7.1328, 7.4967 Å; angles 111.99, 111.99, 107.31 degrees
Atoms (fractional coordinates):
La: 0.0000 0.5000 0.0000
La: 0.0000 0.5000 0.5000
Ag: 0.5000 0.0000 0.0000
Ag: 0.5000 0.0000 0.5000
Ag: 0.0000 0.0000 0.5000
Ag: 0.5000 0.5000 0.0000
Te: 0.5000 0.5000 0.5000
Te: 0.0000 0.0000 0.0000
O: 0.1562 0.7873 0.9007
O: 0.7127 0.3438 0.5993
O: 0.2873 0.6562 0.4007
O: 0.8438 0.2127 0.0993
O: 0.9374 0.8175 0.1595
O: 0.6825 0.5626 0.3405
O: 0.3175 0.4374 0.6595
O: 0.0626 0.1825 0.8405

Calculated values
- E_tot: -5.475 eV/atom
- Magnetization: 0.00 μB per formula unit

***

# 9
VASP calculation (PBE-GGA) on a relaxed structure of LaAg2TeO6.

Cell lengths 5.6811, 5.9765, 8.3444 Å; angles 90.00, 90.88, 90.00 degrees
Atoms (fractional coordinates):
La: 0.5000 0.0000 0.0000
La: 0.0000 0.5000 0.5000
Ag: 0.0128 0.9457 0.2667
Ag: 0.5128 0.5543 0.7667
Ag: 0.9872 0.0543 0.7333
Ag: 0.4872 0.4457 0.2333
Te: 0.5000 0.0000 0.5000
Te: 0.0000 0.5000 0.0000
O: 0.2683 0.6879 0.0486
O: 0.7683 0.8121 0.5486
O: 0.7317 0.3121 0.9514
O: 0.2317 0.1879 0.4514
O: 0.3259 0.7454 0.4086
O: 0.8259 0.7546 0.9086
O: 0.6741 0.2546 0.5914
O: 0.1741 0.2454 0.0914
O: 0.8702 0.5799 0.2142
O: 0.3702 0.9201 0.7142
O: 0.1298 0.4201 0.7858
O: 0.6298 0.0799 0.2858

Calculated values
- E_tot: -5.638 eV/atom
- Magnetization: 0.00 μB per formula unit

***

# 10
VASP calculation (PBE-GGA) on a relaxed structure of La2TiAgO.

Cell lengths 5.3185, 5.3185, 3.9925 Å; angles 90.00, 90.00, 90.00 degrees
Atoms (fractional coordinates):
Ti: 0.0000 0.0000 0.5000
O: 0.0000 0.0000 0.0000
Ag: 0.5000 0.5000 0.5000
La: 0.0000 0.5000 0.0000
La: 0.5000 0.0000 0.0000

Calculated values
- E_tot: -6.259 eV/atom
- Magnetization: 1.81 μB per formula unit

***

# 11
VASP calculation (PBE-GGA) on a relaxed structure of La2TlAgO5.

Cell lengths 3.5975, 7.3301, 11.5526 Å; angles 90.00, 90.00, 104.21 degrees
Atoms (fractional coordinates):
La: 0.8780 0.7560 0.7501
La: 0.1277 0.2554 0.7082
La: 0.1220 0.2440 0.2501
La: 0.8723 0.7446 0.2082
Tl: 0.7816 0.5633 0.4897
Tl: 0.2184 0.4367 0.9897
Ag: 0.4973 0.9946 0.9589
Ag: 0.5027 0.0054 0.4589
O: 0.3581 0.7161 0.0665
O: 0.7207 0.4414 0.8589
O: 0.5062 0.0124 0.7625
O: 0.2893 0.5785 0.6782
O: 0.9240 0.8480 0.5509
O: 0.6419 0.2839 0.5665
O: 0.2793 0.5586 0.3589
O: 0.4938 0.9876 0.2625
O: 0.7107 0.4215 0.1782
O: 0.0760 0.1520 0.0509

Calculated values
- E_tot: -6.382 eV/atom
- Magnetization: 0.00 μB per formula unit

***

# 12
VASP calculation (PBE-GGA) on a relaxed structure of LaTlAgO2.

Cell lengths 4.3688, 8.4630, 4.3688 Å; angles 90.00, 90.00, 90.00 degrees
Atoms (fractional coordinates):
Tl: 0.0000 0.5000 0.0000
O: 0.0000 0.0000 0.5000
O: 0.5000 0.0000 0.0000
Ag: 0.5000 0.5000 0.5000
La: 0.0000 0.0000 0.0000

Calculated values
- E_tot: -4.970 eV/atom
- Magnetization: 0.00 μB per formula unit